1.
Dy2TmInC: relaxed, PBE.

Properties
- ΔE_f (eV per atom) = -0.5189
- space-group type = P4/mmm (123)
- E (eV per atom) = -5.647

abc: 4.924 4.924 4.839
angles: 90.00 90.00 90.00
Atoms (fractional coordinates):
Dy  0.000  0.500  0.000
Dy  0.500  0.000  0.000
Tm  0.000  0.000  0.500
In  0.500  0.500  0.500
C  0.000  0.000  0.000



2.
Cs2SiAu5: relaxed, PBE.

Properties
- formation energy from raw total energies (kJ per mole of atoms) = -14
- space-group type = I4mm (107)
- E (eV per atom) = -3.084

abc: 7.175 7.175 7.175
angles: 127.31 127.31 77.75
Atoms (fractional coordinates):
Cs  0.000  0.500  0.500
Cs  0.500  0.000  0.500
Si  0.331  0.331  0.000
Au  0.516  0.516  0.525
Au  0.516  0.991  0.000
Au  0.572  0.572  0.000
Au  0.991  0.516  0.000
Au  0.991  0.991  0.475



3.
BaNd3P: relaxed, PBE.

Properties
- ΔE_f (eV per atom) = -0.3800
- space-group type = Pm-3m (221)
- E (eV per atom) = -4.707

abc: 5.721 5.721 5.721
angles: 90.00 90.00 90.00
Atoms (fractional coordinates):
Ba  0.000  0.000  0.000
Nd  0.000  0.500  0.500
Nd  0.500  0.000  0.500
Nd  0.500  0.500  0.000
P  0.500  0.500  0.500



> Which of these has the lowest E?

Dy2TmInC



> What is the E in the second record?

-3.084 eV per atom



> E of number 3 (BaNd3P)?

-4.707 eV per atom



> Which formula does entry 1 have?

Dy2TmInC